No. 1
Density functional theory data (PBE-GGA) for a relaxed structure of AcTb2NdSb4.

Properties
The crystal system is monoclinic. The space-group type is P2/m.

Cell lengths 4.539, 7.850, 7.861 Å; angles 70.54, 90.00, 90.00 degrees
Element x y z (fractional)
Ac1 0.500 0.500 0.000
Sb1 0.500 0.237 0.748
Sb2 0.000 0.232 0.262
Tb1 0.000 0.000 0.000
Sb3 0.500 0.763 0.252
Tb2 0.500 0.000 0.500
Nd1 0.000 0.500 0.500
Sb4 0.000 0.768 0.738

No. 2
Density functional theory data (PBE-GGA) for a relaxed structure of Ac2NdSb2Te2.

Properties
The crystal system is tetragonal. The space-group type is I4/mmm.

Cell lengths 5.879, 5.879, 9.273 Å; angles 108.48, 108.48, 90.00 degrees
Element x y z (fractional)
Ac1 0.379 0.379 0.759
Sb1 0.500 0.000 0.000
Sb2 0.000 0.500 0.000
Te1 0.188 0.188 0.376
Nd1 0.000 0.000 0.000
Ac2 0.621 0.621 0.241
Te2 0.812 0.812 0.624

No. 3
Density functional theory data (PBE-GGA) for a relaxed structure of AcNdSbTe.

Properties
The crystal system is cubic. The space-group type is F-43m.

Cell lengths 5.649, 5.649, 5.649 Å; angles 60.00, 60.00, 60.00 degrees
Element x y z (fractional)
Ac1 0.000 0.000 0.000
Te1 0.250 0.250 0.250
Nd1 0.500 0.500 0.500
Sb1 0.750 0.750 0.750

No. 4
Density functional theory data (PBE-GGA) for a relaxed structure of Ac2NdThSb4.

Properties
The crystal system is monoclinic. The space-group type is P2/m.

Cell lengths 4.645, 8.033, 8.086 Å; angles 109.33, 90.00, 90.00 degrees
Element x y z (fractional)
Nd1 0.500 0.500 0.000
Sb1 0.500 0.757 0.767
Sb2 0.000 0.747 0.234
Th1 0.000 0.000 0.000
Ac1 0.500 0.000 0.500
Ac2 0.000 0.500 0.500
Sb3 0.500 0.243 0.233
Sb4 0.000 0.253 0.766

No. 5
Density functional theory data (PBE-GGA) for a relaxed structure of AcNd2ThSb4.

Properties
The crystal system is monoclinic. The space-group type is P2/m.

Cell lengths 4.588, 7.919, 7.960 Å; angles 70.58, 90.00, 90.00 degrees
Element x y z (fractional)
Sb1 0.000 0.758 0.739
Th1 0.000 0.500 0.500
Nd1 0.500 0.000 0.500
Sb2 0.500 0.753 0.257
Sb3 0.000 0.242 0.261
Nd2 0.000 0.000 0.000
Sb4 0.500 0.247 0.743
Ac1 0.500 0.500 0.000

No. 6
Density functional theory data (PBE-GGA) for a relaxed structure of AcNdTh2Sb4.

Properties
The crystal system is monoclinic. The space-group type is P2/m.

Cell lengths 4.579, 7.950, 7.928 Å; angles 70.53, 90.00, 90.00 degrees
Element x y z (fractional)
Ac1 0.500 0.500 0.000
Th1 0.500 0.000 0.500
Nd1 0.000 0.500 0.500
Sb1 0.000 0.762 0.740
Sb2 0.500 0.243 0.747
Sb3 0.000 0.238 0.260
Sb4 0.500 0.757 0.253
Th2 0.000 0.000 0.000

Number 1: E_form (uncorrected) -1154 meV per atom, total magnetic moment 0.0 μB per cell. Number 2: E_form (uncorrected) -914 meV per atom, total magnetic moment 0.0 μB per cell. Number 3: E_form (uncorrected) -1145 meV per atom, total magnetic moment 0.4 μB per cell. Number 4: E_form (uncorrected) -1142 meV per atom, total magnetic moment 0.0 μB per cell. Number 5: E_form (uncorrected) -1129 meV per atom, total magnetic moment 0.0 μB per cell. Number 6: E_form (uncorrected) -1051 meV per atom, total magnetic moment 0.0 μB per cell.